The following is a PBE calculation of Ca2IrOs after structural relaxation, from Alexandria via LeMat-Bulk.

CIF file:
```
data_Ca2IrOs
_symmetry_space_group_name_H-M 'P m m 2'
_symmetry_Int_Tables_number 25
_cell_length_a 3.003
_cell_length_b 3.815
_cell_length_c 8.392
_cell_angle_alpha 90.00
_cell_angle_beta 90.00
_cell_angle_gamma 90.00
loop_
_symmetry_equiv_pos_as_xyz
'x,y,z'
'-x,-y,z'
'-x,y,z'
'x,-y,z'
loop_
_atom_site_label
_atom_site_type_symbol
_atom_site_fract_x
_atom_site_fract_y
_atom_site_fract_z
_atom_site_occupancy
Ca1 Ca 0.000 0.000 0.000 1
Ca2 Ca 0.500 0.500 0.400 1
Ir1 Ir 0.000 0.000 0.645 1
Os1 Os 0.500 0.500 0.750 1
```

Calculated values
Formation energy = 189 meV/atom
ΔE to the lowest computed polymorph = 0.78 eV/f.u.
Magnetic moment = 0.0 μB/f.u.